Entry 1:
Below is NaBi3Te after structural relaxation, with properties calculated at the PBE-GGA level.

```
data_NaBi3Te
_chemical_formula_sum 'Na1 Bi3 Te1'
_cell_length_a 5.974
_cell_length_b 5.974
_cell_length_c 5.974
_cell_angle_alpha 90.00
_cell_angle_beta 90.00
_cell_angle_gamma 90.00
_space_group_name_H-M_alt 'P m -3 m'
_space_group_IT_number 221
_space_group_name_Hall '-P 4 2 3'
loop_
_atom_site_label
_atom_site_fract_x
_atom_site_fract_y
_atom_site_fract_z
Na1 0.000 0.000 0.000
Bi1 0.000 0.500 0.500
Te1 0.500 0.500 0.500
```

Uncorrected formation energy: 0.43 eV per atom
VASP energy: -2.79 eV/atom
Offset from the most stable computed form: 0 meV/atom
Calculated density: 6.06 g cm⁻³

Entry 2:
Below is RbY3Ta after structural relaxation, with properties calculated at the PBE-GGA level.

```
data_RbY3Ta
_chemical_formula_sum 'Rb1 Y3 Ta1'
_cell_length_a 5.290
_cell_length_b 5.290
_cell_length_c 5.290
_cell_angle_alpha 90.00
_cell_angle_beta 90.00
_cell_angle_gamma 90.00
_space_group_name_H-M_alt 'P m -3 m'
_space_group_IT_number 221
_space_group_name_Hall '-P 4 2 3'
loop_
_atom_site_label
_atom_site_fract_x
_atom_site_fract_y
_atom_site_fract_z
Rb1 0.000 0.000 0.000
Y1 0.000 0.000 0.500
Ta1 0.500 0.500 0.500
```

VASP energy: -4.59 eV/atom
Offset from the most stable computed form: 1174 meV/atom
Calculated density: 5.98 g cm⁻³

Entry 3:
Below is Ti8NbSn2 after structural relaxation, with properties calculated at the PBE-GGA level.

```
data_Ti8NbSn2
_chemical_formula_sum 'Ti8 Nb1 Sn2'
_cell_length_a 4.298
_cell_length_b 4.298
_cell_length_c 11.074
_cell_angle_alpha 90.00
_cell_angle_beta 90.00
_cell_angle_gamma 90.00
_space_group_name_H-M_alt 'P 4/m m m'
_space_group_IT_number 123
_space_group_name_Hall '-P 4 2'
loop_
_atom_site_label
_atom_site_fract_x
_atom_site_fract_y
_atom_site_fract_z
Ti1 0.000 0.000 0.172
Ti2 0.000 0.500 0.000
Ti3 0.000 0.500 0.359
Nb1 0.500 0.500 0.500
Sn1 0.500 0.500 0.182
```

VASP energy: -7.36 eV/atom
Calculated density: 5.79 g cm⁻³

> Among the records above, which one has the highest calculated density?

NaBi3Te

> Which of these has the highest VASP energy?

NaBi3Te

Copy entry 1 word for word.
Below is NaBi3Te after structural relaxation, with properties calculated at the PBE-GGA level.

```
data_NaBi3Te
_chemical_formula_sum 'Na1 Bi3 Te1'
_cell_length_a 5.974
_cell_length_b 5.974
_cell_length_c 5.974
_cell_angle_alpha 90.00
_cell_angle_beta 90.00
_cell_angle_gamma 90.00
_space_group_name_H-M_alt 'P m -3 m'
_space_group_IT_number 221
_space_group_name_Hall '-P 4 2 3'
loop_
_atom_site_label
_atom_site_fract_x
_atom_site_fract_y
_atom_site_fract_z
Na1 0.000 0.000 0.000
Bi1 0.000 0.500 0.500
Te1 0.500 0.500 0.500
```

Uncorrected formation energy: 0.43 eV per atom
VASP energy: -2.79 eV/atom
Offset from the most stable computed form: 0 meV/atom
Calculated density: 6.06 g cm⁻³

> Which of these has the lowest calculated density?

Ti8NbSn2